FeIN2O: relaxed, PBE with a Hubbard U.

```
5
Lattice="-1.666 3.071 -2.069 -2.677 0.569 2.999 2.331 2.364 1.632" Properties=species:S:1:pos:R:3 pbc="T T T"
N -1.339 0.284 1.500
O 1.165 1.182 0.816
Fe 0.000 0.000 0.000
I -1.006 3.002 1.281
N -0.833 1.535 -1.035
```

Fermi-level density of states in states/eV/cell: 2.50
E in eV/atom: -4.61
Magnetic moment in μB per atom: 0.803